# YAlCr PBE optimized geometry
# Spin magnetization in Bohr magnetons per cell: 0.000
# ΔH_f (0 K) in kJ/mol of formula units: -1
data_YAlCr
_space_group_name_H-M_alt 'P 1'
_space_group_IT_number 1
_cell_length_a 9.843
_cell_length_b 4.279
_cell_length_c 5.854
_cell_angle_alpha 90.00
_cell_angle_beta 90.00
_cell_angle_gamma 90.00
loop_
_space_group_symop_operation_xyz
'x,y,z'
loop_
_atom_site_label
_atom_site_type_symbol
_atom_site_fract_x
_atom_site_fract_y
_atom_site_fract_z
Y1 Y 0.309 0.000 0.000
Y2 Y 0.691 0.000 0.000
Y3 Y 0.809 0.500 0.500
Y4 Y 0.191 0.500 0.500
Cr1 Cr 0.093 0.500 0.000
Cr2 Cr 0.907 0.500 0.000
Cr3 Cr 0.593 0.000 0.500
Cr4 Cr 0.407 0.000 0.500
Al1 Al 0.000 0.000 0.237
Al2 Al 0.000 0.000 0.763
Al3 Al 0.500 0.500 0.737
Al4 Al 0.500 0.500 0.263

***

# Li2BeMo PBE optimized geometry
# Spin magnetization in Bohr magnetons per cell: 0.000
# ΔH_f (0 K) in kJ/mol of formula units: 317
data_Li2BeMo
_space_group_name_H-M_alt 'P 1'
_space_group_IT_number 1
_cell_length_a 6.636
_cell_length_b 6.636
_cell_length_c 5.253
_cell_angle_alpha 50.83
_cell_angle_beta 50.83
_cell_angle_gamma 90.00
loop_
_space_group_symop_operation_xyz
'x,y,z'
loop_
_atom_site_label
_atom_site_type_symbol
_atom_site_fract_x
_atom_site_fract_y
_atom_site_fract_z
Be1 Be 0.500 0.500 0.000
Be2 Be 0.250 0.750 0.500
Mo1 Mo 0.000 0.000 0.000
Mo2 Mo 0.750 0.250 0.500
Li1 Li 0.589 0.125 0.250
Li2 Li 0.161 0.625 0.250
Li3 Li 0.375 0.411 0.750
Li4 Li 0.875 0.839 0.750

***

# Pa2AuSe PBE optimized geometry
# Spin magnetization in Bohr magnetons per cell: 2.283
# Energy relative to the elements, uncorrected in eV per formula unit: -1.76
data_Pa2AuSe
_space_group_name_H-M_alt 'P 1'
_space_group_IT_number 1
_cell_length_a 5.203
_cell_length_b 5.203
_cell_length_c 4.956
_cell_angle_alpha 58.34
_cell_angle_beta 58.34
_cell_angle_gamma 60.00
loop_
_space_group_symop_operation_xyz
'x,y,z'
loop_
_atom_site_label
_atom_site_type_symbol
_atom_site_fract_x
_atom_site_fract_y
_atom_site_fract_z
Pa1 Pa 0.246 0.246 0.261
Pa2 Pa 0.754 0.754 0.739
Au1 Au 0.500 0.500 0.500
Se1 Se 0.000 0.000 0.000

***

# TbSm2In2 PBE optimized geometry
# Spin magnetization in Bohr magnetons per cell: 0.000
# ΔH_f (0 K) in kJ/mol of formula units: -181
data_TbSm2In2
_space_group_name_H-M_alt 'P 1'
_space_group_IT_number 1
_cell_length_a 4.988
_cell_length_b 6.044
_cell_length_c 6.044
_cell_angle_alpha 71.11
_cell_angle_beta 65.63
_cell_angle_gamma 65.63
loop_
_space_group_symop_operation_xyz
'x,y,z'
loop_
_atom_site_label
_atom_site_type_symbol
_atom_site_fract_x
_atom_site_fract_y
_atom_site_fract_z
Tb1 Tb 0.000 0.000 0.000
Sm1 Sm 0.194 0.306 0.306
Sm2 Sm 0.806 0.694 0.694
In1 In 0.500 0.290 0.710
In2 In 0.500 0.710 0.290

***

# IrAu3 PBE optimized geometry
# Spin magnetization in Bohr magnetons per cell: 0.000
# ΔH_f (0 K) in kJ/mol of formula units: 109
data_IrAu3
_space_group_name_H-M_alt 'P 1'
_space_group_IT_number 1
_cell_length_a 5.033
_cell_length_b 5.033
_cell_length_c 2.823
_cell_angle_alpha 90.00
_cell_angle_beta 90.00
_cell_angle_gamma 107.63
loop_
_space_group_symop_operation_xyz
'x,y,z'
loop_
_atom_site_label
_atom_site_type_symbol
_atom_site_fract_x
_atom_site_fract_y
_atom_site_fract_z
Au1 Au 0.000 0.000 0.000
Au2 Au 0.000 0.500 0.500
Au3 Au 0.500 0.000 0.500
Ir1 Ir 0.500 0.500 0.000

***

# CaAcH2 PBE optimized geometry
# Spin magnetization in Bohr magnetons per cell: 0.000
# Raw total energy in Ry per atom: -0.263
data_CaAcH2
_space_group_name_H-M_alt 'P 1'
_space_group_IT_number 1
_cell_length_a 3.763
_cell_length_b 3.763
_cell_length_c 7.172
_cell_angle_alpha 74.79
_cell_angle_beta 74.79
_cell_angle_gamma 60.00
loop_
_space_group_symop_operation_xyz
'x,y,z'
loop_
_atom_site_label
_atom_site_type_symbol
_atom_site_fract_x
_atom_site_fract_y
_atom_site_fract_z
H1 H 0.123 0.123 0.632
H2 H 0.877 0.877 0.368
Ac1 Ac 0.000 0.000 0.000
Ca1 Ca 0.500 0.500 0.500